[1]
# LiPm3Ru2 | the Alexandria database | PBE | optimized geometry
# ΔH_f (0 K), eV per atom: -0.1565
# Total magnetization, μB per atom: 0.000
# ρ, g cm⁻³: 7.47
data_LiPm3Ru2
_chemical_formula_sum 'Li1 Pm3 Ru2'
_cell_length_a 3.476
_cell_length_b 3.476
_cell_length_c 11.843
_cell_angle_alpha 90.00
_cell_angle_beta 90.00
_cell_angle_gamma 90.00
_symmetry_space_group_name_H-M 'P 4/m m m'
_symmetry_Int_Tables_number 123
_symmetry_space_group_name_Hall '-P 4 2'
loop_
_atom_site_label
_atom_site_type_symbol
_atom_site_fract_x
_atom_site_fract_y
_atom_site_fract_z
_atom_site_occupancy
Li1 Li 0.000 0.000 0.000 1
Pm1 Pm 0.500 0.500 0.205 1
Pm2 Pm 0.500 0.500 0.500 1
Ru1 Ru 0.000 0.000 0.343 1

[2]
# LiPmRu | the Alexandria database | PBE | optimized geometry
# ΔH_f (0 K), eV per atom: 0.0469
# Total magnetization, μB per atom: 0.000
# ρ, g cm⁻³: 7.36
# Energy relative to the lowest polymorph listed for this composition, meV per atom: 0
data_LiPmRu
_chemical_formula_sum 'Li2 Pm2 Ru2'
_cell_length_a 3.524
_cell_length_b 3.524
_cell_length_c 9.192
_cell_angle_alpha 90.00
_cell_angle_beta 90.00
_cell_angle_gamma 90.00
_symmetry_space_group_name_H-M 'I 4 m m'
_symmetry_Int_Tables_number 107
_symmetry_space_group_name_Hall 'I 4 -2'
loop_
_atom_site_label
_atom_site_type_symbol
_atom_site_fract_x
_atom_site_fract_y
_atom_site_fract_z
_atom_site_occupancy
Li1 Li 0.000 0.000 0.000 1
Pm1 Pm 0.000 0.000 0.299 1
Ru1 Ru 0.000 0.000 0.627 1